Entry from Alexandria via LeMat-Bulk: a relaxed structure of LiNbMoO6 (PBE+U).

symmetry	P4_2nm (102)
size of the total moment	0.0	μB per formula unit
VASP energy	-7.4501	eV per atom

Cell lengths 4.819, 4.819, 9.083 Å; angles 90.00, 90.00, 90.00 degrees
Positions (direct):
O: 0.296 0.296 0.684
O: 0.315 0.315 0.994
O: 0.213 0.787 0.819
O: 0.704 0.704 0.684
O: 0.685 0.685 0.994
O: 0.787 0.213 0.819
O: 0.185 0.815 0.494
O: 0.815 0.185 0.494
O: 0.204 0.796 0.184
O: 0.287 0.287 0.319
O: 0.796 0.204 0.184
O: 0.713 0.713 0.319
Mo: 0.500 0.500 0.832
Mo: 0.000 0.000 0.332
Nb: 0.500 0.500 0.172
Nb: 0.000 0.000 0.672
Li: 0.000 0.000 0.002
Li: 0.500 0.500 0.502

---

Entry from Alexandria via LeMat-Bulk: a relaxed structure of Li2NbMo2O6 (PBE+U).

DOS at the Fermi energy	0.233	states/eV/atom
symmetry	C2/m (12)
size of the total moment	1.0	μB per formula unit
VASP energy	-7.0457	eV per atom

Cell lengths 5.174, 5.174, 5.494 Å; angles 98.58, 98.58, 120.01 degrees
Last column: magnetic moment on the atom in μB.
Positions (direct):
Mo: 0.361 0.639 0.500  0.74
Mo: 0.639 0.361 0.500  0.74
O: 0.050 0.403 0.720  0.01
O: 0.950 0.597 0.280  0.01
O: 0.229 0.229 0.230  0.01
O: 0.597 0.950 0.280  0.01
O: 0.403 0.050 0.720  0.01
O: 0.771 0.771 0.770  0.01
Nb: 0.000 0.000 0.500  -0.54
Li: 0.169 0.831 0.000  0.00
Li: 0.831 0.169 0.000  0.00

---

Entry from Alexandria via LeMat-Bulk: a relaxed structure of LiNbMo2O6 (PBE+U).

symmetry	P4mm (99)
size of the total moment	2.0	μB per formula unit
VASP energy	-6.9875	eV per atom

Cell lengths 5.051, 5.005, 5.005 Å; angles 90.00, 90.00, 90.00 degrees
Last column: magnetic moment on the atom in μB.
Positions (direct):
O: 0.746 0.249 0.751  -0.01
O: 0.746 0.751 0.751  -0.01
O: 0.175 0.500 0.500  0.03
O: 0.202 0.000 0.000  0.02
O: 0.746 0.751 0.249  -0.01
O: 0.746 0.249 0.249  -0.01
Mo: 0.979 0.500 0.000  0.97
Mo: 0.979 0.000 0.500  0.97
Li: 0.549 0.500 0.500  0.01
Nb: 0.579 0.000 0.000  0.03

---

Entry from Alexandria via LeMat-Bulk: a relaxed structure of Li2NbMoO6 (PBE+U).

symmetry	P4mm (99)
size of the total moment	1.0	μB per formula unit
VASP energy	-7.1725	eV per atom

Cell lengths 4.263, 5.561, 5.561 Å; angles 90.00, 90.00, 90.00 degrees
Last column: magnetic moment on the atom in μB.
Positions (direct):
O: 0.738 0.752 0.752  0.02
O: 0.738 0.248 0.752  0.02
O: 0.220 0.000 0.000  -0.06
O: 0.225 0.500 0.500  0.00
O: 0.738 0.248 0.248  0.02
O: 0.738 0.752 0.248  0.02
Li: 0.887 0.500 0.000  0.00
Li: 0.887 0.000 0.500  0.00
Mo: 0.628 0.000 0.000  0.95
Nb: 0.647 0.500 0.500  0.03